Material: NiGeAsO6
Method: DFT, PBE with a Hubbard U
State: relaxed

The structure belongs to space group P-31c (No. 163); the cell edges are 4.9203, 4.9203 and 8.7334 Å and the angles 90.00°, 90.00° and 120.00°. The asymmetric unit holds Ni at (0.0000, 0.0000, 0.0000), Ge at (0.3333, 0.6667, 0.2500), As at (0.3333, 0.6667, 0.7500) and O at (0.0080, 0.3588, 0.6339).

Its total magnetization is 6.05 μB per cell. As for the crystal system: trigonal.

---

Material: NiGeAsO2
Method: DFT, PBE with a Hubbard U
State: relaxed

The structure belongs to space group P4/mmm (No. 123); the cell edges are 3.578, 3.578 and 5.888 Å and the angles 90.00°, 90.00° and 90.00°. The asymmetric unit holds Ni at (0.000, 0.000, 0.000), Ge at (0.500, 0.500, 0.500), As at (0.500, 0.500, 0.000) and O at (0.000, 0.500, 0.500).

Its total magnetization is 1.04 μB per cell. As for the crystal system: tetragonal.

---

Quick rundown of E_tot, same order as above: -104.07, -22.07 eV per cell